Compound: ZrZnBr
Source: Alexandria via LeMat-Bulk
Functional: PBEsol
Structure: relaxed

abc: 3.1922 3.1922 6.8836
angles: 103.41 103.41 90.00
With the nearest neighbours (Å) after each atom.
Fractional coordinates of all 3 atoms:
1 Zr 0.3344 0.3344 0.6688  4 Br 2.84, 4 Zn 2.86
2 Br 0.9666 0.9666 0.9333  4 Zr 2.84
3 Zn 0.6989 0.6989 0.3979  4 Zr 2.86, 4 Zn 3.19

Values from the calculation:
For the total energy, the calculation gives -4.519 eV per atom. The total magnetization comes out at 0.0 μB/f.u. The energy above the most stable polymorph in this dataset is 0.301 eV per formula unit. The space-group type is I4mm, No. 107. The uncorrected formation energy comes out at -338 meV/atom.